1.
{"formula": "Sm2Ga4Cu3Au", "functional": "PBE-GGA", "state": "optimized geometry", "total_energy_ev_per_atom": -4.205, "m_tot_mub_per_fu": 0.000, "sg": "P-4m2, No. 115", "crystal_system": "tetragonal", "lattice": [[4.235, 0.000, 0.000], [0.000, 4.235, 0.000], [0.000, 0.000, 10.240]], "species": ["Cu", "Cu", "Cu", "Ga", "Ga", "Ga", "Ga", "Sm", "Sm", "Au"], "fractional_positions": [[0.000, 0.000, 0.500], [0.500, 0.000, 0.874], [0.000, 0.500, 0.126], [0.000, 0.500, 0.358], [0.000, 0.000, 0.000], [0.500, 0.000, 0.642], [0.500, 0.500, 0.000], [0.500, 0.000, 0.247], [0.000, 0.500, 0.753], [0.500, 0.500, 0.500]]}

2.
{"formula": "TbPrRuPt", "functional": "PBE-GGA", "state": "optimized geometry", "total_energy_ev_per_atom": -6.796, "m_tot_mub_per_fu": 0.000, "sg": "F-43m, No. 216", "crystal_system": "cubic", "lattice": [[4.987, 0.000, 0.000], [2.493, 4.319, 0.000], [2.493, 1.440, 4.072]], "species": ["Pr", "Pt", "Ru", "Tb"], "fractional_positions": [[0.000, 0.000, 0.000], [0.750, 0.750, 0.750], [0.250, 0.250, 0.250], [0.500, 0.500, 0.500]]}

3.
{"formula": "NaReNi", "functional": "PBE-GGA", "state": "optimized geometry", "e_above_lowest_polymorph_ev_per_atom": 0.3429, "m_tot_mub_per_fu": 0.000, "sg": "Cm, No. 8", "crystal_system": "monoclinic", "lattice": [[-3.987, -0.193, 3.163], [4.339, -0.540, 1.333], [0.224, 5.783, -1.392]], "species": ["Re", "Re", "Ni", "Ni", "Na", "Na"], "fractional_positions": [[0.950, 0.346, 0.041], [0.450, 0.346, 0.041], [0.032, 0.928, 0.204], [0.532, 0.928, 0.204], [0.233, 0.628, 0.605], [0.732, 0.627, 0.605]]}

4.
{"formula": "AlRh2", "functional": "PBE-GGA", "state": "optimized geometry", "total_energy_ev_per_atom": -6.749, "m_tot_mub_per_fu": 0.000, "sg": "Cm, No. 8", "crystal_system": "monoclinic", "lattice": [[1.403, 4.842, 0.001], [-1.403, 4.842, 0.001], [0.000, 1.272, 6.232]], "species": ["Al", "Al", "Rh", "Rh", "Rh", "Rh"], "fractional_positions": [[0.018, 0.018, 0.980], [0.311, 0.311, 0.354], [0.665, 0.665, 0.671], [0.299, 0.299, 0.961], [0.598, 0.598, 0.266], [0.942, 0.942, 0.602]]}

5.
{"formula": "ZrIr3", "functional": "PBE-GGA", "state": "optimized geometry", "total_energy_ev_per_atom": -9.491, "m_tot_mub_per_fu": 0.000, "sg": "Pm-3m, No. 221", "crystal_system": "cubic", "lattice": [[3.984, 0.000, 0.000], [0.000, 3.984, 0.000], [0.000, 0.000, 3.984]], "species": ["Ir", "Ir", "Ir", "Zr"], "fractional_positions": [[0.000, 0.000, 0.000], [0.500, 0.000, 0.500], [0.000, 0.500, 0.500], [0.500, 0.500, 0.000]]}

6.
{"formula": "CaTl3Zn", "functional": "PBE-GGA", "state": "optimized geometry", "e_above_lowest_polymorph_ev_per_atom": 0.0000, "m_tot_mub_per_fu": 0.000, "sg": "Pm-3m, No. 221", "crystal_system": "cubic", "lattice": [[-0.903, 5.273, 0.500], [-2.307, -0.848, 4.778], [4.767, 0.588, 2.407]], "species": ["Tl", "Tl", "Tl", "Ca", "Zn"], "fractional_positions": [[0.000, 0.500, 0.000], [0.500, 0.000, 0.000], [0.000, 0.000, 0.500], [0.500, 0.500, 0.500], [0.000, 0.000, 0.000]]}

7.
{"formula": "ZrAgIrO6", "functional": "PBE-GGA", "state": "optimized geometry", "formation_energy_uncorrected_mev_per_atom": -1275, "m_tot_mub_per_fu": 1.020, "sg": "P-31c, No. 163", "crystal_system": "trigonal", "lattice": [[5.381, 0.000, 0.000], [-2.691, 4.660, 0.000], [0.000, 0.000, 9.427]], "species": ["O", "O", "O", "O", "O", "O", "O", "O", "O", "O", "O", "O", "Ag", "Ag", "Zr", "Zr", "Ir", "Ir"], "fractional_positions": [[0.354, 0.378, 0.865], [0.024, 0.378, 0.635], [0.622, 0.646, 0.635], [0.646, 0.622, 0.135], [0.024, 0.646, 0.865], [0.378, 0.024, 0.135], [0.976, 0.354, 0.135], [0.646, 0.024, 0.365], [0.354, 0.976, 0.635], [0.622, 0.976, 0.865], [0.976, 0.622, 0.365], [0.378, 0.354, 0.365], [0.000, 0.000, 0.000], [0.000, 0.000, 0.500], [0.333, 0.667, 0.250], [0.667, 0.333, 0.750], [0.667, 0.333, 0.250], [0.333, 0.667, 0.750]]}

8.
{"formula": "K3BeH4", "functional": "PBE-GGA", "state": "optimized geometry", "total_energy_ev_per_atom": -2.661, "m_tot_mub_per_fu": 0.922, "sg": "Imm2, No. 44", "crystal_system": "orthorhombic", "lattice": [[6.239, -0.446, 0.573], [-3.461, 5.210, -0.573], [-2.132, -1.949, 5.578]], "species": ["Be", "H", "H", "H", "H", "K", "K", "K"], "fractional_positions": [[0.968, 0.500, 0.468], [0.071, 0.348, 0.419], [0.643, 0.281, 0.362], [0.082, 0.719, 0.362], [0.071, 0.652, 0.723], [0.108, 0.000, 0.108], [0.604, 0.211, 0.815], [0.604, 0.789, 0.392]]}